First-principles (SCAN) data for CeBiAu2 at its PBEsol-relaxed geometry, as listed in the Alexandria database.

## Properties
Total moment: 0.87 μB per cell
Total energy: -4.8557 Ry per atom
Formation energy from the elements: -0.701 eV per atom

Cell and atoms, written as extended XYZ:
```
4
Lattice="5.051 0.000 0.000 2.525 4.374 0.000 2.525 1.458 4.124" Properties=species:S:1:pos:R:3 pbc="T T T"
Au 7.576 4.374 3.093
Ce 0.000 0.000 0.000
Au 2.525 1.458 1.031
Bi 5.051 2.916 2.062
```